[1]
The following is a GGA-PBE calculation of a relaxed Rb3CoCu crystal, from Alexandria via LeMat-Bulk.

a b c (Å): 6.411 6.411 6.411
angles (deg): 90.00 90.00 90.00
Fractional coordinates of all 5 atoms:
Co: 0.000 0.000 0.000
Cu: 0.500 0.500 0.500
Rb: 0.000 0.500 0.000
Rb: 0.000 0.000 0.500
Rb: 0.500 0.000 0.000

Output
Symmetry = Pm-3m
Energy relative to the elements = 0.93 eV/atom

=====

[2]
The following is a GGA-PBE calculation of a relaxed Mg6In crystal, from Alexandria via LeMat-Bulk.

a b c (Å): 7.026 7.026 7.026
angles (deg): 109.47 109.47 109.47
Fractional coordinates of all 7 atoms:
Mg: 0.250 0.750 0.500
Mg: 0.500 0.750 0.250
Mg: 0.250 0.500 0.750
Mg: 0.750 0.250 0.500
Mg: 0.500 0.250 0.750
Mg: 0.750 0.500 0.250
In: 0.000 0.000 0.000

Output
Symmetry = Im-3m
Energy relative to the elements = 0.72 eV/atom

=====

[3]
The following is a GGA-PBE calculation of a relaxed LiZn2Co2 crystal, from Alexandria via LeMat-Bulk.

a b c (Å): 4.506 4.506 4.931
angles (deg): 62.81 62.81 90.00
Fractional coordinates of all 5 atoms:
Zn: 0.750 0.250 0.500
Zn: 0.250 0.750 0.500
Co: 0.359 0.359 0.282
Co: 0.641 0.641 0.718
Li: 0.000 0.000 0.000

Output
Symmetry = I4/mmm
Energy relative to the elements = 0.30 eV/atom

=====

[4]
The following is a GGA-PBE calculation of a relaxed CaIrPt crystal, from Alexandria via LeMat-Bulk.

a b c (Å): 6.760 6.760 2.885
angles (deg): 77.68 77.68 24.64
Fractional coordinates of all 3 atoms:
Ca: 0.999 0.999 0.001
Ir: 0.323 0.323 0.677
Pt: 0.678 0.678 0.322

Output
Symmetry = I4mm
Energy relative to the elements = -0.11 eV/atom

=====

[5]
The following is a GGA-PBE calculation of a relaxed AlTl2Mo crystal, from Alexandria via LeMat-Bulk.

a b c (Å): 5.513 5.513 5.192
angles (deg): 83.76 83.76 31.82
Fractional coordinates of all 4 atoms:
Tl: 0.987 0.987 0.007
Tl: 0.513 0.513 0.493
Mo: 0.250 0.250 0.250
Al: 0.750 0.750 0.750

Output
Symmetry = C2/m
Energy relative to the elements = 0.60 eV/atom

=====

[6]
The following is a GGA-PBE calculation of a relaxed Er7Sc2Tl2 crystal, from Alexandria via LeMat-Bulk.

a b c (Å): 3.546 10.926 10.926
angles (deg): 51.34 80.66 80.66
Fractional coordinates of all 11 atoms:
Er: 0.844 0.048 0.265
Er: 0.869 0.397 0.865
Er: 0.500 0.043 0.957
Er: 0.627 0.459 0.288
Er: 0.373 0.712 0.541
Er: 0.156 0.735 0.952
Er: 0.131 0.135 0.603
Sc: 0.000 0.720 0.280
Sc: 0.500 0.397 0.603
Tl: 0.744 0.860 0.652
Tl: 0.256 0.348 0.140

Output
Symmetry = Imm2
Energy relative to the elements = -0.02 eV/atom

=====

[7]
The following is a GGA-PBE calculation of a relaxed Mg3Tc crystal, from Alexandria via LeMat-Bulk.

a b c (Å): 4.778 5.216 5.779
angles (deg): 90.00 90.00 90.00
Fractional coordinates of all 8 atoms:
Mg: 0.500 0.638 0.000
Mg: 0.000 0.362 0.500
Mg: 0.000 0.838 0.248
Mg: 0.000 0.838 0.752
Mg: 0.500 0.162 0.748
Mg: 0.500 0.162 0.252
Tc: 0.000 0.349 0.000
Tc: 0.500 0.651 0.500

Output
Symmetry = Pmmn
Energy relative to the elements = 0.23 eV/atom

=====

[8]
The following is a GGA-PBE calculation of a relaxed BaLa5Tl4 crystal, from Alexandria via LeMat-Bulk.

a b c (Å): 3.844 3.844 23.429
angles (deg): 90.00 90.00 90.00
Fractional coordinates of all 10 atoms:
Ba: 0.000 0.000 0.000
La: 0.500 0.500 0.137
La: 0.500 0.500 0.317
La: 0.500 0.500 0.500
La: 0.500 0.500 0.683
La: 0.500 0.500 0.863
Tl: 0.000 0.000 0.223
Tl: 0.000 0.000 0.408
Tl: 0.000 0.000 0.592
Tl: 0.000 0.000 0.777

Output
Symmetry = P4/mmm
Energy relative to the elements = -0.29 eV/atom

=====

[9]
The following is a GGA-PBE calculation of a relaxed SrAlAg2 crystal, from Alexandria via LeMat-Bulk.

a b c (Å): 5.373 5.373 5.373
angles (deg): 128.32 128.32 76.11
Fractional coordinates of all 4 atoms:
Sr: 0.750 0.250 0.500
Al: 0.500 0.500 0.000
Ag: 0.000 0.000 0.000
Ag: 0.250 0.750 0.500

Output
Symmetry = I-4m2
Energy relative to the elements = 0.00 eV/atom

=====

[10]
The following is a GGA-PBE calculation of a relaxed CsCo6S8 crystal, from Alexandria via LeMat-Bulk.

a b c (Å): 6.622 6.622 6.622
angles (deg): 89.18 89.18 89.18
Fractional coordinates of all 15 atoms:
Cs: 0.000 0.000 0.000
Co: 0.587 0.427 0.759
Co: 0.427 0.759 0.587
Co: 0.759 0.587 0.427
Co: 0.413 0.573 0.241
Co: 0.573 0.241 0.413
Co: 0.241 0.413 0.573
S: 0.725 0.725 0.725
S: 0.275 0.275 0.275
S: 0.590 0.856 0.298
S: 0.856 0.298 0.590
S: 0.298 0.590 0.856
S: 0.410 0.144 0.702
S: 0.144 0.702 0.410
S: 0.702 0.410 0.144

Output
Symmetry = R-3
ΔE_f (raw) = -0.329 eV per atom

=====

[11]
The following is a GGA-PBE calculation of a relaxed SnHCl3 crystal, from Alexandria via LeMat-Bulk.

a b c (Å): 3.286 8.606 9.733
angles (deg): 94.43 90.00 101.01
Fractional coordinates of all 10 atoms:
Sn: 0.629 0.259 0.004
Sn: 0.371 0.741 0.996
H: 0.871 0.741 0.515
H: 0.129 0.259 0.485
Cl: 0.375 0.750 0.554
Cl: 0.625 0.250 0.446
Cl: 0.736 0.473 0.835
Cl: 0.264 0.527 0.165
Cl: 0.047 0.095 0.832
Cl: 0.953 0.905 0.168

Output
Symmetry = C2/m

=====

[12]
The following is a GGA-PBE calculation of a relaxed La2SmPu crystal, from Alexandria via LeMat-Bulk.

a b c (Å): 5.015 5.141 5.141
angles (deg): 90.00 90.00 90.00
Fractional coordinates of all 4 atoms:
La: 0.000 0.000 0.500
La: 0.000 0.500 0.000
Sm: 0.500 0.500 0.500
Pu: 0.500 0.000 0.000

Output
Symmetry = P4/mmm
Energy relative to the elements = 0.14 eV/atom

=====

[13]
The following is a GGA-PBE calculation of a relaxed Tb6Sm12Ho crystal, from Alexandria via LeMat-Bulk.

a b c (Å): 8.625 8.625 8.625
angles (deg): 88.91 88.91 88.91
Fractional coordinates of all 19 atoms:
Tb: 0.740 0.904 0.301
Tb: 0.699 0.260 0.096
Tb: 0.096 0.699 0.260
Tb: 0.260 0.096 0.699
Tb: 0.301 0.740 0.904
Tb: 0.904 0.301 0.740
Sm: 0.778 0.538 0.434
Sm: 0.434 0.778 0.538
Sm: 0.538 0.434 0.778
Sm: 0.222 0.462 0.566
Sm: 0.566 0.222 0.462
Sm: 0.462 0.566 0.222
Sm: 0.016 0.197 0.360
Sm: 0.803 0.640 0.984
Sm: 0.640 0.984 0.803
Sm: 0.984 0.803 0.640
Sm: 0.197 0.360 0.016
Sm: 0.360 0.016 0.197
Ho: 0.000 0.000 0.000

Output
Symmetry = R-3
Energy relative to the elements = 0.14 eV/atom

=====

[14]
The following is a GGA-PBE calculation of a relaxed YSe2 crystal, from Alexandria via LeMat-Bulk.

a b c (Å): 7.562 7.562 5.701
angles (deg): 67.85 67.85 31.39
Fractional coordinates of all 6 atoms:
Se: 0.345 0.345 0.266
Se: 0.639 0.639 0.760
Se: 0.639 0.639 0.184
Se: 0.933 0.933 0.678
Y: 0.989 0.989 0.123
Y: 0.289 0.289 0.822

Output
Symmetry = Immm
ΔE_f (raw) = -1.547 eV per atom

=====

[15]
The following is a GGA-PBE calculation of a relaxed YAgTeF2 crystal, from Alexandria via LeMat-Bulk.

a b c (Å): 4.328 4.328 6.265
angles (deg): 90.00 90.00 90.00
Fractional coordinates of all 5 atoms:
Y: 0.000 0.000 0.000
Te: 0.000 0.000 0.500
Ag: 0.500 0.500 0.500
F: 0.000 0.500 0.000
F: 0.500 0.000 0.000

Output
Symmetry = P4/mmm
ΔE_f (raw) = -2.330 eV per atom

=====

[16]
The following is a GGA-PBE calculation of a relaxed RbHfNi2S crystal, from Alexandria via LeMat-Bulk.

a b c (Å): 4.645 6.851 4.645
angles (deg): 90.00 90.00 90.00
Fractional coordinates of all 5 atoms:
Ni: 0.000 0.000 0.500
Ni: 0.500 0.000 0.000
S: 0.500 0.500 0.500
Hf: 0.000 0.000 0.000
Rb: 0.000 0.500 0.000

Output
Symmetry = P4/mmm
ΔE_f (raw) = 1.140 eV per atom

=====

[17]
The following is a GGA-PBE calculation of a relaxed K2SrTc crystal, from Alexandria via LeMat-Bulk.

a b c (Å): 3.737 3.737 12.080
angles (deg): 90.00 90.00 90.08
Fractional coordinates of all 4 atoms:
K: 0.000 0.000 0.925
K: 0.500 0.500 0.266
Sr: 0.000 0.000 0.580
Tc: 0.500 0.500 0.730

Output
Symmetry = Cmm2
Energy relative to the elements = 0.86 eV/atom

=====

[18]
The following is a GGA-PBE calculation of a relaxed K2PaS4 crystal, from Alexandria via LeMat-Bulk.

a b c (Å): 7.652 7.652 7.652
angles (deg): 111.04 111.04 106.38
Fractional coordinates of all 14 atoms:
K: 0.875 0.528 0.153
K: 0.278 0.125 0.653
K: 0.375 0.722 0.847
K: 0.472 0.625 0.347
Pa: 0.750 0.250 0.500
Pa: 0.000 0.000 0.000
S: 0.292 0.926 0.249
S: 0.957 0.708 0.634
S: 0.677 0.043 0.751
S: 0.074 0.323 0.366
S: 0.458 0.207 0.134
S: 0.793 0.927 0.251
S: 0.073 0.324 0.866
S: 0.676 0.542 0.749

Output
Symmetry = I-42d
ΔE_f (raw) = -1.175 eV per atom

=====

[19]
The following is a GGA-PBE calculation of a relaxed Ac2BeTlO6 crystal, from Alexandria via LeMat-Bulk.

a b c (Å): 4.824 5.459 5.459
angles (deg): 90.00 90.00 90.00
Fractional coordinates of all 10 atoms:
Ac: 0.053 0.500 0.000
Ac: 0.053 0.000 0.500
Be: 0.565 0.000 0.000
Tl: 0.591 0.500 0.500
O: 0.705 0.225 0.225
O: 0.705 0.225 0.775
O: 0.135 0.500 0.500
O: 0.232 0.000 0.000
O: 0.705 0.775 0.775
O: 0.705 0.775 0.225

Output
Symmetry = P4mm
ΔE_f (raw) = -2.124 eV per atom

=====

[20]
The following is a GGA-PBE calculation of a relaxed SrTlBr5 crystal, from Alexandria via LeMat-Bulk.

a b c (Å): 7.916 7.917 11.228
angles (deg): 109.87 109.88 87.00
Fractional coordinates of all 14 atoms:
Sr: 0.500 0.000 0.000
Sr: 0.500 0.000 0.500
Tl: 0.904 0.597 0.250
Tl: 0.096 0.403 0.750
Br: 0.763 0.693 0.036
Br: 0.259 0.638 0.337
Br: 0.414 0.086 0.250
Br: 0.807 0.737 0.463
Br: 0.193 0.263 0.537
Br: 0.861 0.241 0.163
Br: 0.139 0.759 0.837
Br: 0.586 0.914 0.750
Br: 0.741 0.362 0.663
Br: 0.237 0.307 0.964

Output
Symmetry = C2/c
ΔE_f (raw) = -1.126 eV per atom

=====

[21]
The following is a GGA-PBE calculation of a relaxed Cs2CeCl5 crystal, from Alexandria via LeMat-Bulk.

a b c (Å): 8.709 9.233 14.021
angles (deg): 90.00 90.00 90.00
Fractional coordinates of all 32 atoms:
Cs: 0.441 0.506 0.830
Cs: 0.559 0.494 0.170
Cs: 0.941 0.494 0.670
Cs: 0.559 0.006 0.170
Cs: 0.059 0.506 0.330
Cs: 0.441 0.994 0.830
Cs: 0.059 0.994 0.330
Cs: 0.941 0.006 0.670
Ce: 0.436 0.250 0.504
Ce: 0.564 0.750 0.496
Ce: 0.936 0.750 0.996
Ce: 0.064 0.250 0.004
Cl: 0.113 0.250 0.514
Cl: 0.887 0.750 0.486
Cl: 0.613 0.750 0.986
Cl: 0.387 0.250 0.014
Cl: 0.344 0.958 0.567
Cl: 0.656 0.042 0.433
Cl: 0.844 0.042 0.933
Cl: 0.656 0.458 0.433
Cl: 0.156 0.958 0.067
Cl: 0.344 0.542 0.567
Cl: 0.156 0.542 0.067
Cl: 0.844 0.458 0.933
Cl: 0.146 0.250 0.811
Cl: 0.854 0.750 0.189
Cl: 0.646 0.750 0.689
Cl: 0.354 0.250 0.311
Cl: 0.608 0.250 0.671
Cl: 0.392 0.750 0.329
Cl: 0.108 0.750 0.829
Cl: 0.892 0.250 0.171

Output
Symmetry = Pnma
ΔE_f (raw) = -2.158 eV per atom

=====

[22]
The following is a GGA-PBE calculation of a relaxed HoEr8Sc2 crystal, from Alexandria via LeMat-Bulk.

a b c (Å): 5.769 8.867 9.213
angles (deg): 61.23 73.34 53.43
Fractional coordinates of all 11 atoms:
Ho: 0.500 0.000 0.000
Er: 0.803 0.096 0.253
Er: 0.803 0.349 0.747
Er: 0.284 0.449 0.000
Er: 0.500 0.795 0.410
Er: 0.500 0.205 0.590
Er: 0.716 0.551 0.000
Er: 0.197 0.651 0.253
Er: 0.197 0.904 0.747
Sc: 0.000 0.311 0.377
Sc: 0.000 0.689 0.623

Output
Symmetry = C2/m
Energy relative to the elements = 0.18 eV/atom

=====

What did we get for uncorrected energy? Answer: -1.893 -1.036 -3.431 -5.742 -4.230 -4.500 -3.559 -3.897 -2.781 -5.429 -3.136 -7.083 -4.542 -6.025 -5.570 -4.183 -2.697 -5.204 -6.530 -2.900 -4.267 -4.710 eV per atom, in the order shown.